Entry from the Alexandria database: crystalline VRe2F at its relaxed geometry (GGA+U).

a b c (Å): 5.8013 5.8013 5.8013
angles (deg): 97.71 97.71 137.02
Positions (direct):
1 V 0.0000 0.0000 0.0000
2 V 0.7500 0.2500 0.5000
3 Re 0.2031 0.6250 0.0781
4 Re 0.3750 0.4531 0.5781
5 Re 0.5469 0.1250 0.9219
6 Re 0.8750 0.7969 0.4219
7 F 0.2500 0.7500 0.5000
8 F 0.5000 0.5000 0.0000

Its spin magnetization is 1.9 μB per formula unit. The electronic total energy is -7.78 eV/atom. For the theoretical density, the calculation gives 11862 kg/m3. The symmetry is No. 122.